## YAs2Pt (GGA-PBE)

Data for YAs2Pt after structural relaxation.

It has space group P4mm (No. 99), with a = 3.7374 Å, b = 3.7374 Å, c = 5.8065 Å, α = 90.00°, β = 90.00° and γ = 90.00°. The distinct sites, in fractional coordinates, are Y at (0.0000, 0.0000, 0.0000), As at (0.0000, 0.0000, 0.5066), As at (0.5000, 0.5000, 0.1725) and Pt at (0.5000, 0.5000, 0.6314).

The calculation puts the calculated formation energy at -65 kJ/mol of atoms. Its calculated total energy is -24.50 eV/cell. The total moment comes out at 0.0 μB per formula unit.